# 1
Below is a geometry-optimized Li2MnHgI6 structure, with properties calculated at the PBE level.

```
Li2MnHgI6
1.0
7.532 0.000 0.000
-3.765 6.539 0.000
-3.763 -2.167 7.086
Li Mn Hg I
2 1 1 6
direct
0.000 0.000 0.000 Li
0.097 0.550 0.644 Li
0.435 0.219 0.651 Mn
0.578 0.791 0.369 Hg
0.210 0.409 0.353 I
0.234 0.286 0.835 I
0.548 0.143 0.352 I
0.550 0.950 0.836 I
0.887 0.602 0.835 I
0.946 0.806 0.353 I
```

---

# 2
Below is a geometry-optimized LiHgI2N structure, with properties calculated at the PBE level.

```
LiHgI2N
1.0
5.691 0.000 0.000
0.000 5.691 0.000
0.000 0.000 4.113
Li Hg I N
1 1 2 1
direct
0.000 0.000 0.000 Li
0.500 0.500 0.500 Hg
0.000 0.500 0.000 I
0.500 0.000 0.000 I
0.000 0.000 0.500 N
```

Summary:
ΔE to the lowest computed polymorph = 111.3 meV per atom

---

# 3
Below is a geometry-optimized LiHgIN2 structure, with properties calculated at the PBE level.

```
LiHgIN2
1.0
4.334 0.000 0.000
0.000 4.334 0.000
0.000 0.000 6.070
Li Hg I N
1 1 1 2
direct
0.000 0.000 0.000 Li
0.500 0.500 0.500 Hg
0.000 0.000 0.500 I
0.000 0.500 0.000 N
0.500 0.000 0.000 N
```

Summary:
ΔE to the lowest computed polymorph = 223.2 meV per atom

---

Number 1: calculated total energy -2.91 eV per atom, formation energy (no corrections) -0.652 eV/atom. Number 2: calculated total energy -2.16 eV per atom, formation energy (no corrections) 0.571 eV/atom. Number 3: calculated total energy -2.59 eV per atom, formation energy (no corrections) 1.497 eV/atom.